1.
DFT (PBE-GGA) results for crystalline ThBeSb at its relaxed geometry.

- SG: F-43m
- Uncorrected energy: -5.17 eV per atom
- ρ: 8.6 g/cm³

a = 4.6238 Å, b = 4.6238 Å, c = 4.6238 Å
α = 60.00°, β = 60.00°, γ = 60.00°
Fractional positions:
Be (0.0000, 0.0000, 0.0000)
Sb (0.2500, 0.2500, 0.2500)
Th (0.7500, 0.7500, 0.7500)

2.
DFT (PBE-GGA) results for crystalline BaNaTaPt at its relaxed geometry.

- SG: F-43m
- ρ: 10.2 g/cm³
- Distance to the lowest polymorph of the same formula: 0 meV/atom

a = 4.9836 Å, b = 4.9836 Å, c = 4.9836 Å
α = 60.00°, β = 60.00°, γ = 60.00°
Fractional positions:
Ba (0.0000, 0.0000, 0.0000)
Na (0.7500, 0.7500, 0.7500)
Pt (0.5000, 0.5000, 0.5000)
Ta (0.2500, 0.2500, 0.2500)

3.
DFT (PBE-GGA) results for crystalline NaLaSnPt at its relaxed geometry.

- SG: F-43m
- ρ: 8.6 g/cm³
- Distance to the lowest polymorph of the same formula: 236 meV/atom

a = 5.0587 Å, b = 5.0587 Å, c = 5.0587 Å
α = 60.00°, β = 60.00°, γ = 60.00°
Fractional positions:
La (0.0000, 0.0000, 0.0000)
Na (0.7500, 0.7500, 0.7500)
Pt (0.5000, 0.5000, 0.5000)
Sn (0.2500, 0.2500, 0.2500)

4.
DFT (PBE-GGA) results for crystalline KCoAgSeS2 at its relaxed geometry.

- SG: Cmcm
- Uncorrected energy: -4.08 eV per atom
- ρ: 4.4 g/cm³

a = 8.0660 Å, b = 8.0660 Å, c = 9.8412 Å
α = 90.00°, β = 90.00°, γ = 155.54°
Fractional positions:
Ag (0.9107, 0.0893, 0.2500)
Ag (0.0893, 0.9107, 0.7500)
Co (0.5000, 0.5000, 0.0000)
Co (0.5000, 0.5000, 0.5000)
K (0.2275, 0.7725, 0.2500)
K (0.7725, 0.2275, 0.7500)
S (0.9036, 0.0964, 0.0088)
S (0.9036, 0.0964, 0.4912)
S (0.0964, 0.9036, 0.5088)
S (0.0964, 0.9036, 0.9912)
Se (0.5498, 0.4502, 0.2500)
Se (0.4502, 0.5498, 0.7500)